# TbY3Al

TbY3Al after structural relaxation (PBE-GGA, the Alexandria database).

Calculated values
E ... -57.01 eV for the cell shown
Energy relative to the elements ... -0.7 eV/f.u.
Distance to the lowest polymorph of the same formula ... 0.0 meV/atom

Cell and atoms, written as CIF:
```
data_TbY3Al
_chemical_formula_sum 'Tb2 Y6 Al2'
_cell_length_a 3.6524
_cell_length_b 8.6112
_cell_length_c 9.7391
_cell_angle_alpha 104.34
_cell_angle_beta 100.80
_cell_angle_gamma 89.98
_symmetry_space_group_name_H-M 'P 1'
_symmetry_Int_Tables_number 1
_symmetry_space_group_name_Hall 'P 1'
loop_
_atom_site_label
_atom_site_fract_x
_atom_site_fract_y
_atom_site_fract_z
Y1 0.2318 0.7264 0.7207
Y2 0.5987 0.4982 0.4547
Y3 0.6127 0.9230 0.4828
Y4 0.4144 0.3939 0.0855
Y5 0.4161 0.8307 0.0899
Y6 0.2178 0.3016 0.6925
Tb1 0.0171 0.1630 0.2908
Tb2 0.8133 0.0616 0.8845
Al1 0.8218 0.5564 0.9006
Al2 0.0088 0.6683 0.2747
```